Crystalline TlMo5 at its relaxed geometry. Source: the Alexandria database, functional PBE.

Geometry as POSCAR:
```
TlMo5
1.0
3.249 0.000 0.000
0.000 13.672 0.000
0.000 0.000 4.566
Tl Mo
2 10
direct
0.000 0.000 0.000
0.500 0.500 0.000
0.000 0.164 0.500
0.000 0.322 0.000
0.000 0.500 0.500
0.000 0.678 0.000
0.000 0.836 0.500
0.500 0.000 0.500
0.500 0.178 0.000
0.500 0.336 0.500
0.500 0.664 0.500
0.500 0.822 0.000
```

Results
V	16.90	A^3/atom
magnetization	0.000	μB/f.u.
relative energy among the computed polymorphs	0.364	eV per formula unit
formation enthalpy at 0 K	347	meV per atom

---

Crystalline Eu2TmIr at its relaxed geometry. Source: the Alexandria database, functional PBE.

Geometry as POSCAR:
```
Eu2TmIr
1.0
3.749 0.000 0.000
-1.874 3.246 0.000
0.000 0.000 31.575
Eu Tm Ir
6 3 3
direct
0.000 0.000 0.109
0.000 0.000 0.891
0.333 0.667 0.558
0.333 0.667 0.776
0.667 0.333 0.224
0.667 0.333 0.442
0.000 0.000 0.000
0.333 0.667 0.667
0.667 0.333 0.333
0.000 0.000 0.500
0.333 0.667 0.167
0.667 0.333 0.833
```

Results
V	32.02	A^3/atom
magnetization	14.121	μB/f.u.
formation enthalpy at 0 K	158	meV per atom